The following is a PBE calculation of a relaxed structure of GeBiSe2Br, from Alexandria via LeMat-Bulk.

It has space group P4/mmm (No. 123), with a = 5.5862 Å, b = 5.5862 Å, c = 5.4855 Å, α = 90.00°, β = 90.00° and γ = 90.00°. Symmetry generates all atoms from Ge at (0.0000, 0.0000, 0.0000), Bi at (0.5000, 0.5000, 0.5000), Se at (0.0000, 0.5000, 0.5000) and Br at (0.5000, 0.5000, 0.0000).

The uncorrected formation energy is 379 meV/atom. For the energy above the most stable polymorph in this dataset, the calculation gives 0.271 eV/atom. Its magnetic moment is 0.145 μB per cell.